Computed, not measured: an optimized crystal structure of CoAsO2 at the GGA+U level of DFT.

Summary:
ρ = 5.10 g/cm³
total energy = -21.387 eV per cell

Structure (POSCAR):
```
CoAsO2
1.0
1.625 0.938 5.899
-1.625 0.938 5.899
0.000 -1.877 5.899
Co As O
1 1 2
direct
0.000 0.000 0.000 Co
0.500 0.500 0.500 As
0.105 0.105 0.105 O
0.895 0.895 0.895 O
```